An optimized crystal structure of TbPmNpO6, computed with PBE.

Cell lengths 5.7953, 5.7953, 9.6534 Å; angles 90.00, 90.00, 120.00 degrees
Last column: magnetic moment on the atom in μB.
Atoms (fractional coordinates):
Np (0.3333, 0.6667, 0.7500)  1.21
Np (0.6667, 0.3333, 0.2500)  1.21
O (0.9727, 0.3358, 0.1358)  -0.03
O (0.6370, 0.9727, 0.8642)  -0.03
O (0.0273, 0.6642, 0.8642)  -0.03
O (0.3630, 0.0273, 0.1358)  -0.03
O (0.3358, 0.9727, 0.6358)  -0.03
O (0.0273, 0.3630, 0.6358)  -0.03
O (0.6370, 0.6642, 0.6358)  -0.03
O (0.6642, 0.0273, 0.3642)  -0.03
O (0.3358, 0.3630, 0.8642)  -0.03
O (0.3630, 0.3358, 0.3642)  -0.03
O (0.6642, 0.6370, 0.1358)  -0.03
O (0.9727, 0.6370, 0.3642)  -0.03
Pm (0.0000, 0.0000, 0.0000)  -0.01
Pm (0.0000, 0.0000, 0.5000)  -0.01
Tb (0.3333, 0.6667, 0.2500)  0.00
Tb (0.6667, 0.3333, 0.7500)  0.00

## Properties
total magnetic moment = 2.00 μB per cell
crystal system = trigonal
formation energy (no corrections) = -3.18 eV per atom